[1]
Here is a relaxed AlBW2 crystal from OQMD. Energies are from PBE.

Lattice parameters (Å, degrees): 3.0684 3.0684 13.5257 90.00 90.00 120.00
With the nearest neighbours (Å) after each atom.
Atoms (fractional coordinates):
W: 0.3333 0.6667 0.4079  3 B 2.17
W: 0.6667 0.3333 0.9079  3 B 2.17
B: 0.0000 0.0000 0.5000  6 W 2.17
B: 0.0000 0.0000 0.0000  6 W 2.17
Al: 0.3333 0.6667 0.7500  6 W 2.77, 6 Al 3.07
Al: 0.6667 0.3333 0.2500  6 W 2.77, 6 Al 3.07
W: 0.3333 0.6667 0.0921  3 B 2.17
W: 0.6667 0.3333 0.5921  3 B 2.17

Results
* uncorrected energy: -9.242 eV/atom

---

[2]
Here is a relaxed AlBW crystal from OQMD. Energies are from PBE.

Lattice parameters (Å, degrees): 3.9601 3.9601 3.9601 60.00 60.00 60.00
With the nearest neighbours (Å) after each atom.
Atoms (fractional coordinates):
B: 0.2500 0.2500 0.2500  4 Al 2.43
Al: 0.0000 0.0000 0.0000  4 W 2.43, 4 B 2.43
W: 0.7500 0.7500 0.7500  4 Al 2.43

Results
* uncorrected energy: -6.258 eV/atom

---

[3]
Here is a relaxed AlBW crystal from OQMD. Energies are from PBE.

Lattice parameters (Å, degrees): 7.1780 7.1780 3.1171 90.00 90.00 154.05
With the nearest neighbours (Å) after each atom.
Atoms (fractional coordinates):
B: 0.4658 0.5342 0.2500  2 B 1.83
W: 0.0905 0.9095 0.2500  6 B 2.37-2.38
Al: 0.3000 0.7000 0.2500  1 B 2.32
B: 0.5342 0.4658 0.7500  2 B 1.83
W: 0.9095 0.0905 0.7500  6 B 2.37-2.38
Al: 0.7000 0.3000 0.7500  1 B 2.32

Results
* uncorrected energy: -8.099 eV/atom

---

[4]
Here is a relaxed AlZnB2 crystal from OQMD. Energies are from PBE.

Lattice parameters (Å, degrees): 4.0219 4.0219 4.0219 60.00 60.00 60.00
With the nearest neighbours (Å) after each atom.
Atoms (fractional coordinates):
Zn: 0.5000 0.5000 0.5000  4 Al 2.46, 4 B 2.46
B: 0.2500 0.2500 0.2500  4 Zn 2.46, 4 B 2.46
B: 0.0000 0.0000 0.0000  4 Al 2.46, 4 B 2.46
Al: 0.7500 0.7500 0.7500  4 Zn 2.46, 4 B 2.46

Results
* uncorrected energy: -3.276 eV/atom

---

[5]
Here is a relaxed ZrAl2B6 crystal from OQMD. Energies are from PBE.

Lattice parameters (Å, degrees): 9.4268 10.8945 3.5374 90.00 90.00 90.00
With the nearest neighbours (Å) after each atom.
Atoms (fractional coordinates):
Al: 0.0428 0.8767 0.0000  12 B 2.40-2.69
Al: 0.6306 0.9040 0.0000  8 B 2.43-2.59
B: 0.9134 0.9792 0.5000  3 B 1.67-1.69
B: 0.0108 0.7077 0.5000  3 B 1.74-1.88
B: 0.9353 0.5568 0.5000  2 B 1.74-1.79
B: 0.3701 0.6698 0.5000  2 B 1.67-1.86
Al: 0.9572 0.1233 0.0000  12 B 2.40-2.69
Al: 0.1306 0.5960 0.0000  8 B 2.43-2.59
B: 0.7850 0.0842 0.5000  1 B 1.67
B: 0.3092 0.2421 0.5000  3 B 1.74-1.91
B: 0.1908 0.7421 0.5000  3 B 1.74-1.91
B: 0.4134 0.5208 0.5000  3 B 1.67-1.69
B: 0.4353 0.9432 0.5000  2 B 1.74-1.79
B: 0.8092 0.2579 0.5000  3 B 1.74-1.91
Al: 0.4572 0.3767 0.0000  12 B 2.40-2.69
Zr: 0.6621 0.1815 0.0000  10 B 2.37-2.42
B: 0.2150 0.9158 0.5000  1 B 1.67
B: 0.1299 0.1698 0.5000  2 B 1.67-1.86
B: 0.6299 0.3302 0.5000  2 B 1.67-1.86
Zr: 0.8379 0.6815 0.0000  10 B 2.37-2.42
B: 0.9892 0.2923 0.5000  3 B 1.74-1.88
Zr: 0.3379 0.8185 0.0000  10 B 2.37-2.42
B: 0.5647 0.0568 0.5000  2 B 1.74-1.79
Zr: 0.1621 0.3185 0.0000  10 B 2.37-2.42
B: 0.0866 0.0208 0.5000  3 B 1.67-1.69
Al: 0.3694 0.0960 0.0000  8 B 2.43-2.59
B: 0.2850 0.4158 0.5000  1 B 1.67
B: 0.0647 0.4432 0.5000  2 B 1.74-1.79
B: 0.6908 0.7579 0.5000  3 B 1.74-1.91
B: 0.4892 0.2077 0.5000  3 B 1.74-1.88
Al: 0.5428 0.6233 0.0000  12 B 2.40-2.69
B: 0.5108 0.7923 0.5000  3 B 1.74-1.88
B: 0.7150 0.5842 0.5000  1 B 1.67
B: 0.5866 0.4792 0.5000  3 B 1.67-1.69
Al: 0.8694 0.4040 0.0000  8 B 2.43-2.59
B: 0.8701 0.8302 0.5000  2 B 1.67-1.86

Results
* uncorrected energy: -6.248 eV/atom

---

[6]
Here is a relaxed ZrAlB crystal from OQMD. Energies are from PBE.

Lattice parameters (Å, degrees): 4.2216 4.2216 4.2216 60.00 60.00 60.00
With the nearest neighbours (Å) after each atom.
Atoms (fractional coordinates):
Zr: 0.0000 0.0000 0.0000  4 Al 2.59, 4 B 2.59
Al: 0.2500 0.2500 0.2500  4 Zr 2.59
B: 0.7500 0.7500 0.7500  4 Zr 2.59

Results
* uncorrected energy: -5.541 eV/atom

---

[7]
Here is a relaxed ZrAlB crystal from OQMD. Energies are from PBE.

Lattice parameters (Å, degrees): 3.9670 3.9670 3.9670 60.00 60.00 60.00
With the nearest neighbours (Å) after each atom.
Atoms (fractional coordinates):
Al: 0.2500 0.2500 0.2500  4 B 2.43
Zr: 0.7500 0.7500 0.7500  4 B 2.43
B: 0.0000 0.0000 0.0000  4 Al 2.43, 4 Zr 2.43

Results
* uncorrected energy: -6.555 eV/atom

---

[8]
Here is a relaxed ZrAlB4 crystal from OQMD. Energies are from PBE.

Lattice parameters (Å, degrees): 3.0611 3.0611 6.9848 90.00 90.00 120.00
With the nearest neighbours (Å) after each atom.
Atoms (fractional coordinates):
Al: 0.0000 0.0000 0.5000  12 B 2.39
B: 0.3333 0.6667 0.7310  3 B 1.77
B: 0.6667 0.3333 0.7310  3 B 1.77
B: 0.6667 0.3333 0.2690  3 B 1.77
B: 0.3333 0.6667 0.2690  3 B 1.77
Zr: 0.0000 0.0000 0.0000  12 B 2.58

Results
* uncorrected energy: -6.942 eV/atom

---

[9]
Here is a relaxed ZrAl2B crystal from OQMD. Energies are from PBE.

Lattice parameters (Å, degrees): 4.4385 4.4385 4.4385 60.00 60.00 60.00
With the nearest neighbours (Å) after each atom.
Atoms (fractional coordinates):
B: 0.5000 0.5000 0.5000  4 Al 2.72, 4 Zr 2.72
Zr: 0.2500 0.2500 0.2500  4 B 2.72, 4 Al 2.72
Al: 0.7500 0.7500 0.7500  4 Al 2.72, 4 B 2.72
Al: 0.0000 0.0000 0.0000  4 Al 2.72, 4 Zr 2.72

Results
* uncorrected energy: -5.195 eV/atom

---

[10]
Here is a relaxed Zr3AlB2 crystal from OQMD. Energies are from PBE.

Lattice parameters (Å, degrees): 3.4093 3.4093 20.6586 90.00 90.00 120.00
With the nearest neighbours (Å) after each atom.
Atoms (fractional coordinates):
B: 0.3333 0.6667 0.0713  6 Zr 2.38-2.46
Zr: 0.0000 0.0000 0.5000  6 B 2.46
Zr: 0.6667 0.3333 0.1359  3 B 2.38
Al: 0.0000 0.0000 0.7500  6 Zr 3.07, 6 Al 3.41
Al: 0.0000 0.0000 0.2500  6 Zr 3.07, 6 Al 3.41
B: 0.3333 0.6667 0.4287  6 Zr 2.38-2.46
Zr: 0.3333 0.6667 0.6359  3 B 2.38
B: 0.6667 0.3333 0.5713  6 Zr 2.38-2.46
B: 0.6667 0.3333 0.9287  6 Zr 2.38-2.46
Zr: 0.6667 0.3333 0.3641  3 B 2.38
Zr: 0.0000 0.0000 0.0000  6 B 2.46
Zr: 0.3333 0.6667 0.8641  3 B 2.38

Results
* uncorrected energy: -7.488 eV/atom

---

[11]
Here is a relaxed ZrAlB4 crystal from OQMD. Energies are from PBE.

Lattice parameters (Å, degrees): 5.8395 11.2973 3.4460 90.00 90.00 90.00
With the nearest neighbours (Å) after each atom.
Atoms (fractional coordinates):
B: 0.4777 0.6952 0.5000  3 B 1.71-1.84
B: 0.2069 0.3130 0.5000  3 B 1.71-1.84
Zr: 0.6319 0.8510 0.0000  14 B 2.54-2.71
B: 0.6155 0.4515 0.5000  3 B 1.73-1.74
B: 0.0223 0.1952 0.5000  3 B 1.71-1.84
B: 0.8845 0.9515 0.5000  3 B 1.73-1.74
Zr: 0.1319 0.6490 0.0000  14 B 2.54-2.71
B: 0.5223 0.3048 0.5000  3 B 1.71-1.84
B: 0.7069 0.1870 0.5000  3 B 1.71-1.84
Al: 0.1375 0.9097 0.0000  10 B 2.23-2.33
B: 0.3845 0.5485 0.5000  3 B 1.73-1.74
B: 0.1155 0.0485 0.5000  3 B 1.73-1.74
Al: 0.8625 0.0903 0.0000  10 B 2.23-2.33
Al: 0.3625 0.4097 0.0000  10 B 2.23-2.33
B: 0.6314 0.0312 0.5000  3 B 1.69-1.81
B: 0.3686 0.9688 0.5000  3 B 1.69-1.81
B: 0.2931 0.8130 0.5000  3 B 1.71-1.84
Zr: 0.3681 0.1490 0.0000  14 B 2.54-2.71
B: 0.8686 0.5312 0.5000  3 B 1.69-1.81
Al: 0.6375 0.5903 0.0000  10 B 2.23-2.33
Zr: 0.8681 0.3510 0.0000  14 B 2.54-2.71
B: 0.7931 0.6870 0.5000  3 B 1.71-1.84
B: 0.1314 0.4688 0.5000  3 B 1.69-1.81
B: 0.9777 0.8048 0.5000  3 B 1.71-1.84

Results
* uncorrected energy: -6.940 eV/atom

---

[12]
Here is a relaxed Ba2AlCd crystal from OQMD. Energies are from PBE.

Lattice parameters (Å, degrees): 5.7283 5.7283 5.7283 60.00 60.00 60.00
With the nearest neighbours (Å) after each atom.
Atoms (fractional coordinates):
Al: 0.2500 0.2500 0.2500  4 Cd 3.51, 4 Ba 3.51
Cd: 0.0000 0.0000 0.0000  4 Ba 3.51, 4 Al 3.51
Ba: 0.5000 0.5000 0.5000  4 Ba 3.51, 4 Al 3.51
Ba: 0.7500 0.7500 0.7500  4 Ba 3.51, 4 Cd 3.51

Results
* uncorrected energy: -2.105 eV/atom

---

[13]
Here is a relaxed BaAlCd2Pb crystal from OQMD. Energies are from PBE.

Lattice parameters (Å, degrees): 4.9065 4.9065 12.0330 90.00 90.00 90.00
With the nearest neighbours (Å) after each atom.
Atoms (fractional coordinates):
Al: 0.5000 0.0000 0.8821  5 Cd 2.69-2.83
Ba: 0.0000 0.5000 0.7655  8 Cd 3.70-3.74, 4 Al 3.74, 4 Pb 4.03
Cd: 0.5000 0.0000 0.6584  1 Al 2.69
Cd: 0.0000 0.5000 0.3416  1 Al 2.69
Cd: 0.5000 0.5000 0.0000  4 Al 2.83
Ba: 0.5000 0.0000 0.2345  8 Cd 3.70-3.74, 4 Al 3.74, 4 Pb 4.03
Cd: 0.0000 0.0000 0.0000  4 Al 2.83
Al: 0.0000 0.5000 0.1179  5 Cd 2.69-2.83
Pb: 0.5000 0.5000 0.5000  4 Cd 3.11, 4 Pb 3.47
Pb: 0.0000 0.0000 0.5000  4 Cd 3.11, 4 Pb 3.47

Results
* uncorrected energy: -2.511 eV/atom

---

[14]
Here is a relaxed BaAl2CdPd crystal from OQMD. Energies are from PBE.

Lattice parameters (Å, degrees): 4.6559 4.6559 10.9870 90.00 90.00 90.00
With the nearest neighbours (Å) after each atom.
Atoms (fractional coordinates):
Al: 0.5000 0.5000 0.5000  4 Pd 2.60
Cd: 0.5000 0.5000 0.0000  4 Al 2.90
Pd: 0.0000 0.5000 0.6054  5 Al 2.60
Cd: 0.0000 0.0000 0.0000  4 Al 2.90
Al: 0.0000 0.0000 0.5000  4 Pd 2.60
Pd: 0.5000 0.0000 0.3946  5 Al 2.60
Ba: 0.0000 0.5000 0.2591  8 Al 3.47-3.52, 5 Pd 3.61-3.81, 4 Cd 3.68
Al: 0.0000 0.5000 0.8419  1 Pd 2.60, 4 Cd 2.90
Ba: 0.5000 0.0000 0.7409  8 Al 3.47-3.52, 5 Pd 3.61-3.81, 4 Cd 3.68
Al: 0.5000 0.0000 0.1581  1 Pd 2.60, 4 Cd 2.90

Results
* uncorrected energy: -3.554 eV/atom

---

[15]
Here is a relaxed BaAl2CdPt crystal from OQMD. Energies are from PBE.

Lattice parameters (Å, degrees): 4.6382 4.6382 10.9327 90.00 90.00 90.00
With the nearest neighbours (Å) after each atom.
Atoms (fractional coordinates):
Pt: 0.0000 0.5000 0.6070  5 Al 2.54-2.60
Al: 0.0000 0.5000 0.8394  1 Pt 2.54
Pt: 0.5000 0.0000 0.3930  5 Al 2.54-2.60
Al: 0.5000 0.0000 0.1606  1 Pt 2.54
Cd: 0.5000 0.5000 0.0000  4 Al 2.91
Ba: 0.0000 0.5000 0.2609  8 Al 3.46-3.49, 5 Pt 3.58-3.78, 4 Cd 3.68
Ba: 0.5000 0.0000 0.7391  8 Al 3.46-3.49, 5 Pt 3.58-3.78, 4 Cd 3.68
Cd: 0.0000 0.0000 0.0000  4 Al 2.91
Al: 0.5000 0.5000 0.5000  4 Pt 2.60
Al: 0.0000 0.0000 0.5000  4 Pt 2.60

Results
* uncorrected energy: -3.866 eV/atom

---

[16]
Here is a relaxed BaAl2Co crystal from OQMD. Energies are from PBE.

Lattice parameters (Å, degrees): 4.9254 4.9254 4.9254 60.00 60.00 60.00
With the nearest neighbours (Å) after each atom.
Atoms (fractional coordinates):
Al: 0.0000 0.0000 0.0000  4 Co 3.02, 4 Al 3.02
Ba: 0.5000 0.5000 0.5000  4 Co 3.02, 4 Al 3.02
Co: 0.2500 0.2500 0.2500  4 Ba 3.02, 4 Al 3.02
Al: 0.7500 0.7500 0.7500  4 Ba 3.02, 4 Al 3.02

Results
* uncorrected energy: -3.698 eV/atom

---

[17]
Here is a relaxed BaAlCo crystal from OQMD. Energies are from PBE.

Lattice parameters (Å, degrees): 4.7694 4.7694 4.7694 60.00 60.00 60.00
With the nearest neighbours (Å) after each atom.
Atoms (fractional coordinates):
Al: 0.2500 0.2500 0.2500  4 Co 2.92
Co: 0.0000 0.0000 0.0000  4 Al 2.92, 4 Ba 2.92
Ba: 0.7500 0.7500 0.7500  4 Co 2.92

Results
* uncorrected energy: -3.780 eV/atom

---

[18]
Here is a relaxed BaAl3Ga6Co2 crystal from OQMD. Energies are from PBE.

Lattice parameters (Å, degrees): 7.9066 7.9066 3.9456 90.00 90.00 120.00
With the nearest neighbours (Å) after each atom.
Atoms (fractional coordinates):
Al: 0.5000 0.0000 0.0000  2 Co 2.28
Ga: 0.5757 0.7878 0.5000  2 Co 2.58, 4 Al 2.84, 2 Ga 2.87
Ga: 0.2122 0.4243 0.5000  2 Co 2.58, 4 Al 2.84, 2 Ga 2.87
Co: 0.3333 0.6667 0.0000  3 Al 2.28
Ga: 0.7878 0.2122 0.5000  2 Co 2.58, 4 Al 2.84, 2 Ga 2.87
Co: 0.6667 0.3333 0.0000  3 Al 2.28
Al: 0.5000 0.5000 0.0000  2 Co 2.28
Al: 0.0000 0.5000 0.0000  2 Co 2.28
Ga: 0.7878 0.5757 0.5000  2 Co 2.58, 4 Al 2.84, 2 Ga 2.87
Ga: 0.4243 0.2122 0.5000  2 Co 2.58, 4 Al 2.84, 2 Ga 2.87
Ba: 0.0000 0.0000 0.0000  12 Ga 3.51
Ga: 0.2122 0.7878 0.5000  2 Co 2.58, 4 Al 2.84, 2 Ga 2.87

Results
* uncorrected energy: -4.188 eV/atom

---

[19]
Here is a relaxed Ba2AlCoS6 crystal from OQMD. Energies are from PBE.

Lattice parameters (Å, degrees): 6.6912 6.6912 6.6934 119.99 119.99 60.00
With the nearest neighbours (Å) after each atom.
Atoms (fractional coordinates):
S: 0.7550 0.2450 0.2450  1 Co 2.32, 1 Al 2.41
S: 0.2450 0.2450 0.2450  1 Co 2.32, 1 Al 2.41
S: 0.2450 0.7550 0.2450  1 Co 2.32, 1 Al 2.41
S: 0.2450 0.7550 0.7550  1 Co 2.32, 1 Al 2.41
Al: 0.5000 0.5000 0.5000  6 S 2.41
Ba: 0.2500 0.2500 0.7500  12 S 3.35
Co: 0.0000 0.0000 0.0000  6 S 2.32
S: 0.7550 0.7550 0.7550  1 Co 2.32, 1 Al 2.41
Ba: 0.7500 0.7500 0.2500  12 S 3.35
S: 0.7550 0.2450 0.7550  1 Co 2.32, 1 Al 2.41

Results
* uncorrected energy: -4.884 eV/atom

---

[20]
Here is a relaxed BaAlCu crystal from OQMD. Energies are from PBE.

Lattice parameters (Å, degrees): 5.2558 5.2558 5.2558 60.00 60.00 60.00
With the nearest neighbours (Å) after each atom.
Atoms (fractional coordinates):
Al: 0.5000 0.5000 0.5000  4 Ba 3.22
Ba: 0.2500 0.2500 0.2500  4 Al 3.22, 4 Cu 3.22
Cu: 0.0000 0.0000 0.0000  4 Ba 3.22

Results
* uncorrected energy: -2.401 eV/atom

---

[21]
Here is a relaxed BaAlCu crystal from OQMD. Energies are from PBE.

Lattice parameters (Å, degrees): 5.0684 5.0684 5.0684 60.00 60.00 60.00
With the nearest neighbours (Å) after each atom.
Atoms (fractional coordinates):
Al: 0.0000 0.0000 0.0000  4 Cu 3.10, 4 Ba 3.10
Cu: 0.7500 0.7500 0.7500  4 Al 3.10
Ba: 0.2500 0.2500 0.2500  4 Al 3.10

Results
* uncorrected energy: -2.692 eV/atom

---

[22]
Here is a relaxed BaAl2Cu crystal from OQMD. Energies are from PBE.

Lattice parameters (Å, degrees): 5.0392 5.0392 5.0392 60.00 60.00 60.00
With the nearest neighbours (Å) after each atom.
Atoms (fractional coordinates):
Al: 0.0000 0.0000 0.0000  4 Al 3.09, 4 Cu 3.09
Cu: 0.2500 0.2500 0.2500  4 Ba 3.09, 4 Al 3.09
Ba: 0.5000 0.5000 0.5000  4 Al 3.09, 4 Cu 3.09
Al: 0.7500 0.7500 0.7500  4 Ba 3.09, 4 Al 3.09

Results
* uncorrected energy: -3.136 eV/atom